No. 1
Crystalline ZrAgAs2Br at its relaxed geometry. Source: Alexandria via LeMat-Bulk, functional PBE.

Unit cell a=5.2189 b=5.2189 c=5.3820 alpha=90.00 beta=90.00 gamma=90.00
With the nearest neighbours (Å) after each atom.
Atoms (fractional coordinates):
1 Zr 0.0000 0.0000 0.0000  4 As 2.61, 2 Br 2.69
2 Ag 0.5000 0.5000 0.5000  4 Br 3.69, 8 As 3.75
3 As 0.0000 0.5000 0.0000  2 Zr 2.61
4 As 0.5000 0.0000 0.0000  2 Zr 2.61
5 Br 0.0000 0.0000 0.5000  2 Zr 2.69

Summary:
Calculated total energy (eV/cell): -21.89
Formation energy (no corrections) (eV per atom): 0.0966
Space-group type: P4/mmm

=====

No. 2
Crystalline ZrAgAs2Br at its relaxed geometry. Source: Alexandria via LeMat-Bulk, functional PBE.

Unit cell a=4.9626 b=4.9626 c=5.0971 alpha=90.00 beta=90.00 gamma=90.00
With the nearest neighbours (Å) after each atom.
Atoms (fractional coordinates):
1 Zr 0.0000 0.0000 0.0000  4 Br 3.51, 8 As 3.56
2 Ag 0.5000 0.5000 0.5000  4 As 2.48, 2 Br 2.55
3 As 0.0000 0.5000 0.5000  2 Ag 2.48
4 As 0.5000 0.0000 0.5000  2 Ag 2.48
5 Br 0.5000 0.5000 0.0000  2 Ag 2.55

Summary:
Calculated total energy (eV/cell): -19.14
Formation energy (no corrections) (eV per atom): 0.6462
Space-group type: P4/mmm

=====

No. 3
Crystalline AgAsC3 at its relaxed geometry. Source: Alexandria via LeMat-Bulk, functional PBE.

Unit cell a=4.1685 b=4.1685 c=4.1685 alpha=90.00 beta=90.00 gamma=90.00
With the nearest neighbours (Å) after each atom.
Atoms (fractional coordinates):
1 Ag 0.0000 0.0000 0.0000  6 C 2.08
2 As 0.5000 0.5000 0.5000  12 C 2.95
3 C 0.0000 0.0000 0.5000  2 Ag 2.08
4 C 0.0000 0.5000 0.0000  2 Ag 2.08
5 C 0.5000 0.0000 0.0000  2 Ag 2.08

Summary:
Energy of formation (eV per atom): 3.298
Calculated total energy (eV/cell): -18.68
Space-group type: Pm-3m

=====

No. 4
Crystalline AgAs2C at its relaxed geometry. Source: Alexandria via LeMat-Bulk, functional PBE.

Unit cell a=6.0871 b=6.0871 c=6.0871 alpha=124.99 beta=124.99 gamma=81.55
With the nearest neighbours (Å) after each atom.
Atoms (fractional coordinates):
1 Ag 0.0000 0.0000 0.0000  4 As 2.58
2 Ag 0.7500 0.2500 0.5000  4 As 2.58
3 As 0.2000 0.6250 0.0750  2 C 2.07
4 As 0.3750 0.4500 0.5750  2 C 2.07
5 As 0.5500 0.1250 0.9250  2 C 2.07
6 As 0.8750 0.8000 0.4250  2 C 2.07
7 C 0.2500 0.7500 0.5000  4 As 2.07
8 C 0.5000 0.5000 0.0000  4 As 2.07

Summary:
Energy of formation (eV per atom): 0.686
Calculated total energy (eV/cell): -37.26
Space-group type: I-42d

=====

No. 5
Crystalline AgAs3C at its relaxed geometry. Source: Alexandria via LeMat-Bulk, functional PBE.

Unit cell a=4.9971 b=4.9971 c=4.9971 alpha=90.00 beta=90.00 gamma=90.00
With the nearest neighbours (Å) after each atom.
Atoms (fractional coordinates):
1 Ag 0.0000 0.0000 0.0000  6 As 2.50
2 As 0.0000 0.0000 0.5000  2 Ag 2.50
3 As 0.0000 0.5000 0.0000  2 Ag 2.50
4 As 0.5000 0.0000 0.0000  2 Ag 2.50
5 C 0.5000 0.5000 0.5000  12 As 3.53

Summary:
Energy of formation (eV per atom): 2.223
Calculated total energy (eV/cell): -14.91
Space-group type: Pm-3m

=====

No. 6
Crystalline Ag3AsC at its relaxed geometry. Source: Alexandria via LeMat-Bulk, functional PBE.

Unit cell a=4.3945 b=4.3945 c=4.3945 alpha=90.00 beta=90.00 gamma=90.00
With the nearest neighbours (Å) after each atom.
Atoms (fractional coordinates):
1 Ag 0.0000 0.0000 0.5000  2 C 2.20
2 Ag 0.0000 0.5000 0.0000  2 C 2.20
3 Ag 0.5000 0.0000 0.0000  2 C 2.20
4 As 0.5000 0.5000 0.5000  12 Ag 3.11
5 C 0.0000 0.0000 0.0000  6 Ag 2.20

Summary:
Energy of formation (eV per atom): 0.958
Calculated total energy (eV/cell): -17.64
Space-group type: Pm-3m

=====

> Which value of calculated total energy does entry 3 give?

-18.68 eV/cell